The following is a GGA+U calculation of SrCoSeO after structural relaxation, from OQMD via LeMat-Bulk.

Cell and atoms, written as POSCAR:
```
SrCoSeO
1.0
4.099 0.000 0.000
0.000 4.099 0.000
0.000 0.000 8.730
Co Sr O Se
2 2 2 2
direct
0.750 0.750 0.582
0.250 0.250 0.418
0.250 0.250 0.767
0.750 0.750 0.233
0.750 0.250 0.500
0.250 0.750 0.500
0.250 0.250 0.143
0.750 0.750 0.857
```

As for the total energy: -4.9917 eV per atom. Its crystal system is tetragonal.